Entry from the Alexandria database: crystalline Ba3NiAg2O6 at its relaxed geometry (PBE+U).

a b c (Å): 6.0006 6.0006 6.7589
angles (deg): 90.00 90.00 120.00
With the nearest neighbours (Å) after each atom.
Space group P-3m1 (No. 164)
One atom of each set of equivalent atoms:
Ba 0.0000 0.0000 0.0000 [1 per cell]  6 O 2.72
Ba 0.3333 0.6667 0.6260 [2 per cell]  9 O 2.75-3.02
Ni 0.0000 0.0000 0.5000 [1 per cell]  6 O 2.05
Ag 0.3333 0.6667 0.1432 [2 per cell]  3 O 2.17
O 0.1586 0.3173 0.3202 [6 per cell]  1 Ni 2.05, 1 Ag 2.17

DOS(E_F) = 2.618 states/eV/f.u.
E_tot = -4.930 eV/atom